# 1
## Zr6Si7Ni16 (PBEsol)

Data for a relaxed Zr6Si7Ni16 crystal.

The structure belongs to space group Fm-3m (No. 225); the cell edges are 11.343, 11.343 and 11.343 Å and the angles 90.00°, 90.00° and 90.00°. The inequivalent atoms are Zr at (0.000, 0.000, 0.207), Si at (0.000, 0.000, 0.500), Si at (0.000, 0.250, 0.250), Ni at (0.118, 0.118, 0.382) and Ni at (0.169, 0.169, 0.169).

The energy is -870.56 eV per cell. The total magnetization is 0.001 μB/f.u.

=====

# 2
## SrIn2Sb (PBEsol)

Data for a relaxed SrIn2Sb crystal.

The structure belongs to space group P4/mmm (No. 123); the cell edges are 4.684, 4.684 and 5.008 Å and the angles 90.00°, 90.00° and 90.00°. The inequivalent atoms are Sr at (0.000, 0.000, 0.000), In at (0.000, 0.500, 0.500) and Sb at (0.500, 0.500, 0.000).

The energy is -14.23 eV per cell. The total magnetization is 0.000 μB/f.u.

=====

# 3
## CaAgOs2 (PBEsol)

Data for a relaxed CaAgOs2 crystal.

The structure belongs to space group Fm-3m (No. 225); the cell edges are 6.425, 6.425 and 6.425 Å and the angles 90.00°, 90.00° and 90.00°. The inequivalent atoms are Ca at (0.000, 0.000, 0.000), Ag at (0.000, 0.000, 0.500) and Os at (0.250, 0.250, 0.250).

The energy is -99.64 eV per cell. The total magnetization is 0.002 μB/f.u. Its energy of formation is 1241.4 meV/atom.

=====

# 4
## AsPbSBr2 (PBEsol)

Data for a relaxed AsPbSBr2 crystal.

The structure belongs to space group P4/mmm (No. 123); the cell edges are 5.453, 5.453 and 5.703 Å and the angles 90.00°, 90.00° and 90.00°. The inequivalent atoms are As at (0.000, 0.000, 0.000), Pb at (0.000, 0.000, 0.500), S at (0.500, 0.500, 0.000) and Br at (0.000, 0.500, 0.500).

The energy is -13.64 eV per cell. The total magnetization is 1.958 μB/f.u.

=====

# 5
## Sb3PdAu (PBEsol)

Data for a relaxed Sb3PdAu crystal.

The structure belongs to space group Pm-3m (No. 221); the cell edges are 5.242, 5.242 and 5.242 Å and the angles 90.00°, 90.00° and 90.00°. The inequivalent atoms are Sb at (0.000, 0.000, 0.500), Pd at (0.500, 0.500, 0.500) and Au at (0.000, 0.000, 0.000).

The energy is -19.22 eV per cell. The total magnetization is 0.000 μB/f.u.

=====

# 6
## Li2TeAs2 (PBEsol)

Data for a relaxed Li2TeAs2 crystal.

The structure belongs to space group P4/mbm (No. 127); the cell edges are 8.033, 8.033 and 2.961 Å and the angles 90.00°, 90.00° and 90.00°. The inequivalent atoms are Li at (0.120, 0.380, 0.000), Te at (0.000, 0.000, 0.500) and As at (0.181, 0.681, 0.500).

The energy is -38.32 eV per cell. The total magnetization is 0.000 μB/f.u.

=====

# 7
## CaP2SBr (PBEsol)

Data for a relaxed CaP2SBr crystal.

The structure belongs to space group P4/mmm (No. 123); the cell edges are 5.310, 5.310 and 4.929 Å and the angles 90.00°, 90.00° and 90.00°. The inequivalent atoms are Ca at (0.000, 0.000, 0.000), P at (0.000, 0.500, 0.000), S at (0.000, 0.000, 0.500) and Br at (0.500, 0.500, 0.500).

The energy is -15.40 eV per cell. The total magnetization is 0.001 μB/f.u.

=====

# 8
## RbTlI2O (PBEsol)

Data for a relaxed RbTlI2O crystal.

The structure belongs to space group P4/mmm (No. 123); the cell edges are 6.630, 6.630 and 4.936 Å and the angles 90.00°, 90.00° and 90.00°. The inequivalent atoms are Rb at (0.000, 0.000, 0.000), Tl at (0.500, 0.500, 0.500), I at (0.000, 0.500, 0.000) and O at (0.000, 0.000, 0.500).

The energy is -12.51 eV per cell. The total magnetization is 2.065 μB/f.u.

=====

# 9
## TeRu2Pt (PBEsol)

Data for a relaxed TeRu2Pt crystal.

The structure belongs to space group P4mm (No. 99); the cell edges are 2.869, 2.869 and 7.861 Å and the angles 90.00°, 90.00° and 90.00°. The inequivalent atoms are Te at (0.000, 0.000, 0.000), Ru at (0.000, 0.000, 0.533), Ru at (0.500, 0.500, 0.739) and Pt at (0.500, 0.500, 0.296).

The energy is -29.41 eV per cell. The total magnetization is 0.000 μB/f.u.

=====

# 10
## Hf3ScS (PBEsol)

Data for a relaxed Hf3ScS crystal.

The structure belongs to space group Pm-3m (No. 221); the cell edges are 4.916, 4.916 and 4.916 Å and the angles 90.00°, 90.00° and 90.00°. The inequivalent atoms are Hf at (0.000, 0.000, 0.500), Sc at (0.000, 0.000, 0.000) and S at (0.500, 0.500, 0.500).

The energy is -35.67 eV per cell. The total magnetization is 0.000 μB/f.u.

=====

# 11
## SrRu2Se (PBEsol)

Data for a relaxed SrRu2Se crystal.

The structure belongs to space group Cm (No. 8); the cell edges are 9.690, 3.115 and 5.652 Å and the angles 90.00°, 110.74° and 90.00°. The inequivalent atoms are Sr at (0.000, 0.000, 0.000), Ru at (0.277, 0.500, 0.417), Ru at (0.496, 0.000, 0.470) and Se at (0.202, 0.000, 0.677).

The energy is -51.55 eV per cell. The total magnetization is 0.000 μB/f.u.

=====

# 12
## CdPtSe2 (PBEsol)

Data for a relaxed CdPtSe2 crystal.

The structure belongs to space group I-4m2 (No. 119); the cell edges are 3.703, 3.703 and 11.857 Å and the angles 90.00°, 90.00° and 90.00°. The inequivalent atoms are Cd at (0.000, 0.000, 0.000), Pt at (0.000, 0.500, 0.250), Se at (0.000, 0.000, 0.500) and Se at (0.000, 0.500, 0.750).

The energy is -30.13 eV per cell. The total magnetization is 0.001 μB/f.u.

=====

# 13
## Tc3GeF (PBEsol)

Data for a relaxed Tc3GeF crystal.

The structure belongs to space group Pm-3m (No. 221); the cell edges are 4.565, 4.565 and 4.565 Å and the angles 90.00°, 90.00° and 90.00°. The inequivalent atoms are Tc at (0.000, 0.000, 0.500), Ge at (0.000, 0.000, 0.000) and F at (0.500, 0.500, 0.500).

The energy is -31.76 eV per cell. The total magnetization is 4.637 μB/f.u.

=====

# 14
## Mn2Se3 (PBEsol)

Data for a relaxed Mn2Se3 crystal.

The structure belongs to space group R-3m (No. 166, hexagonal axes); the cell edges are 3.5853, 3.5853 and 26.0772 Å and the angles 90.00°, 90.00° and 120.00°. The inequivalent atoms are Mn at (0.0000, 0.0000, 0.1046), Se at (0.0000, 0.0000, 0.2798) and Se at (0.0000, 0.0000, 0.5000).

The energy is -98.20 eV per cell. The total magnetization is 7.669 μB/f.u.